1.
First-principles (GGA-PBE) data for a relaxed structure of LaTa2IrBr, as listed in the Alexandria database.

Properties
VASP energy ... -7.0810 eV per atom

a b c (Å): 4.9091 5.4733 4.9091
angles (deg): 90.00 90.00 90.00
Closest atoms and distances in Å follow each position.
Fractional positions:
Ir1 0.0000 0.0000 0.0000  4 Ta 2.45, 2 Br 2.74
La1 0.5000 0.5000 0.5000  4 Br 3.47, 8 Ta 3.68
Br1 0.0000 0.5000 0.0000  2 Ir 2.74
Ta1 0.0000 0.0000 0.5000  2 Ir 2.45
Ta2 0.5000 0.0000 0.0000  2 Ir 2.45



2.
First-principles (GGA-PBE) data for a relaxed structure of LaTbIrBr, as listed in the Alexandria database.

Properties
VASP energy ... -6.1759 eV per atom

a b c (Å): 4.1229 4.1229 8.2136
angles (deg): 90.00 104.53 120.00
Closest atoms and distances in Å follow each position.
Fractional positions:
La1 0.5104 0.1531 0.6789  3 Ir 2.84
Tb1 0.0984 0.9471 0.0610  3 Ir 2.79
Ir1 0.3087 0.5523 0.8764  3 Tb 2.79, 3 La 2.84
Br1 0.9603 0.3783 0.3534  3 Tb 3.31, 3 La 3.49-3.50



3.
First-principles (GGA-PBE) data for a relaxed structure of La6TcIr2Br3, as listed in the Alexandria database.

Properties
VASP energy ... -6.2483 eV per atom

a b c (Å): 7.2656 7.2656 8.2622
angles (deg): 98.44 98.44 120.02
Closest atoms and distances in Å follow each position.
Fractional positions:
La1 0.9346 0.6072 0.8035  1 Tc 2.84, 2 Ir 2.89-2.90
La2 0.7378 0.7378 0.1965  1 Tc 2.84, 2 Ir 2.90
La3 0.0654 0.3928 0.1965  1 Tc 2.84, 2 Ir 2.89-2.90
La4 0.6072 0.9346 0.8035  1 Tc 2.84, 2 Ir 2.89-2.90
La5 0.2622 0.2622 0.8035  1 Tc 2.84, 2 Ir 2.90
La6 0.3928 0.0654 0.1965  1 Tc 2.84, 2 Ir 2.89-2.90
Tc1 0.0000 0.0000 0.0000  6 La 2.84
Ir1 0.3331 0.6669 0.0000  6 La 2.89-2.90
Ir2 0.6669 0.3331 0.0000  6 La 2.89-2.90
Br1 0.1635 0.8365 0.5000  6 La 3.37-3.46
Br2 0.8365 0.1635 0.5000  6 La 3.37-3.46
Br3 0.5000 0.5000 0.5000  6 La 3.39-3.44



4.
First-principles (GGA-PBE) data for a relaxed structure of La6Tc2IrBr3, as listed in the Alexandria database.

Properties
VASP energy ... -6.1743 eV per atom

a b c (Å): 7.0904 7.0904 8.3579
angles (deg): 98.58 98.58 117.41
Closest atoms and distances in Å follow each position.
Fractional positions:
La1 0.9216 0.5901 0.8139  1 Tc 2.81, 1 Ir 2.84
La2 0.7507 0.7507 0.2232  2 Tc 2.69, 1 Ir 2.97
La3 0.0784 0.4099 0.1861  1 Tc 2.81, 1 Ir 2.84
La4 0.5901 0.9216 0.8139  1 Tc 2.81, 1 Ir 2.84
La5 0.2493 0.2493 0.7768  2 Tc 2.69, 1 Ir 2.97
La6 0.4099 0.0784 0.1861  1 Tc 2.81, 1 Ir 2.84
Tc1 0.3744 0.6256 0.0000  4 La 2.69-2.81
Tc2 0.6256 0.3744 0.0000  4 La 2.69-2.81
Ir1 0.0000 0.0000 0.0000  6 La 2.84-2.97
Br1 0.1789 0.8211 0.5000  6 La 3.31-3.59
Br2 0.8211 0.1789 0.5000  6 La 3.31-3.59
Br3 0.5000 0.5000 0.5000  6 La 3.35-3.41



5.
First-principles (GGA-PBE) data for a relaxed structure of La8TcIr3Br4, as listed in the Alexandria database.

Properties
VASP energy ... -6.2729 eV per atom

a b c (Å): 8.3904 9.2719 8.3901
angles (deg): 116.92 120.00 90.00
Closest atoms and distances in Å follow each position.
Fractional positions:
La1 0.2294 0.6977 0.9684  1 Tc 2.84, 2 Ir 2.90
La2 0.2294 0.6977 0.4587  1 Tc 2.84, 2 Ir 2.90
La3 0.2691 0.3074 0.5381  3 Ir 2.86
La4 0.7390 0.6977 0.9684  1 Tc 2.84, 2 Ir 2.90
La5 0.2610 0.3023 0.0316  1 Tc 2.84, 2 Ir 2.90
La6 0.7309 0.6926 0.4619  3 Ir 2.86
La7 0.7706 0.3023 0.5413  1 Tc 2.84, 2 Ir 2.90
La8 0.7706 0.3023 0.0316  1 Tc 2.84, 2 Ir 2.90
Tc1 0.0000 0.5000 0.0000  6 La 2.84
Ir1 0.5000 0.5000 0.0000  6 La 2.86-2.90
Ir2 0.5000 0.5000 0.5000  6 La 2.86-2.90
Ir3 0.0000 0.5000 0.5000  6 La 2.86-2.90
Br1 0.5000 0.0000 0.0000  6 La 3.43-3.44
Br2 0.5000 0.0000 0.5000  6 La 3.38-3.43
Br3 0.0000 0.0000 0.0000  6 La 3.39-3.43
Br4 0.0000 0.0000 0.5000  6 La 3.38-3.43



6.
First-principles (GGA-PBE) data for a relaxed structure of La4TeIrBr2, as listed in the Alexandria database.

Properties
VASP energy ... -5.6832 eV per atom

a b c (Å): 4.2459 8.0645 7.7700
angles (deg): 108.01 90.00 90.00
Closest atoms and distances in Å follow each position.
Fractional positions:
La1 0.5000 0.2737 0.2364  1 Ir 2.96, 2 Br 3.12, 2 Te 3.20
La2 0.5000 0.7263 0.7636  1 Ir 2.96, 2 Br 3.12, 2 Te 3.20
La3 0.0000 0.2951 0.7939  2 Ir 2.86
La4 0.0000 0.7049 0.2061  2 Ir 2.86
Te1 0.0000 0.0000 0.0000  6 La 3.20-3.25
Ir1 0.5000 0.5000 0.0000  6 La 2.86-2.96
Br1 0.5000 0.0000 0.5000  6 La 3.44-3.47
Br2 0.0000 0.5000 0.5000  6 La 3.12-3.21



7.
First-principles (GGA-PBE) data for a relaxed structure of La6Te3Ir2Br, as listed in the Alexandria database.

Properties
VASP energy ... -6.1733 eV per atom

a b c (Å): 4.3303 9.2294 10.0502
angles (deg): 105.45 102.44 90.00
Closest atoms and distances in Å follow each position.
Fractional positions:
La1 0.3254 0.8723 0.6509  2 Ir 2.92
La2 0.6767 0.5640 0.3534  3 Ir 2.92-3.00
La3 0.6746 0.1277 0.3491  2 Ir 2.92
La4 0.0197 0.2647 0.0393  1 Ir 2.81
La5 0.9803 0.7353 0.9607  1 Ir 2.81
La6 0.3233 0.4360 0.6466  3 Ir 2.92-3.00
Te1 0.5000 0.5000 0.0000  6 La 3.16-3.36
Te2 0.8446 0.1581 0.6892  6 La 3.27-3.47
Te3 0.1554 0.8419 0.3108  6 La 3.27-3.47
Ir1 0.8315 0.6644 0.6629  6 La 2.81-3.00
Ir2 0.1685 0.3356 0.3371  6 La 2.81-3.00
Br1 0.5000 0.0000 0.0000  6 La 3.21-3.31



8.
First-principles (GGA-PBE) data for a relaxed structure of La4Te2IrBr, as listed in the Alexandria database.

Properties
VASP energy ... -5.9032 eV per atom

a b c (Å): 4.3192 7.9089 7.7790
angles (deg): 71.51 90.00 90.00
Closest atoms and distances in Å follow each position.
Fractional positions:
La1 0.0000 0.7353 0.7402  1 Ir 3.03, 2 Br 3.13, 3 Te 3.17-3.34
La2 0.0000 0.2647 0.2598  1 Ir 3.03, 2 Br 3.13, 3 Te 3.17-3.34
La3 0.5000 0.7109 0.2881  2 Ir 2.90, 1 Br 3.19, 1 Te 3.21
La4 0.5000 0.2891 0.7119  2 Ir 2.90, 1 Br 3.19, 1 Te 3.21
Te1 0.0000 0.0000 0.0000  6 La 3.34-3.42
Te2 0.5000 0.0000 0.5000  6 La 3.17-3.21
Ir1 0.0000 0.5000 0.5000  6 La 2.90-3.03
Br1 0.5000 0.5000 0.0000  6 La 3.13-3.19



9.
First-principles (GGA-PBE) data for a relaxed structure of La3TeIrBr, as listed in the Alexandria database.

Properties
VASP energy ... -5.9429 eV per atom

a b c (Å): 4.1252 7.4929 12.2356
angles (deg): 101.53 90.00 90.00
Closest atoms and distances in Å follow each position.
Fractional positions:
La1 0.2500 0.7165 0.5031  3 Br 3.11-3.14, 3 Te 3.23-3.27
La2 0.7500 0.0399 0.1323  3 Ir 2.93, 1 Br 3.25
La3 0.7500 0.5515 0.1387  3 Ir 2.94-2.99
La4 0.7500 0.2835 0.4969  3 Br 3.11-3.14, 3 Te 3.23-3.27
La5 0.2500 0.4485 0.8613  3 Ir 2.94-2.99
La6 0.2500 0.9601 0.8677  3 Ir 2.93, 1 Br 3.25
Te1 0.7500 0.6486 0.6942  7 La 3.23-3.50
Te2 0.2500 0.3514 0.3058  7 La 3.23-3.50
Ir1 0.2500 0.7665 0.0531  6 La 2.93-2.99
Ir2 0.7500 0.2335 0.9469  6 La 2.93-2.99
Br1 0.2500 0.1186 0.6391  5 La 3.11-3.29
Br2 0.7500 0.8814 0.3609  5 La 3.11-3.29



10.
First-principles (GGA-PBE) data for a relaxed structure of LaTl2IrBr, as listed in the Alexandria database.

Properties
VASP energy ... -4.6218 eV per atom

a b c (Å): 5.3098 5.3098 5.4831
angles (deg): 90.00 90.00 90.00
Closest atoms and distances in Å follow each position.
Fractional positions:
Tl1 0.0000 0.5000 0.0000  2 Ir 2.65
Tl2 0.5000 0.0000 0.0000  2 Ir 2.65
Ir1 0.0000 0.0000 0.0000  4 Tl 2.65, 2 La 2.74
Br1 0.5000 0.5000 0.5000  4 La 3.75, 8 Tl 3.82
La1 0.0000 0.0000 0.5000  2 Ir 2.74



11.
First-principles (GGA-PBE) data for a relaxed structure of La8TlIr3Br4, as listed in the Alexandria database.

Properties
VASP energy ... -5.7861 eV per atom

a b c (Å): 8.6509 9.2946 8.6513
angles (deg): 117.77 120.00 90.00
Closest atoms and distances in Å follow each position.
Fractional positions:
La1 0.2464 0.7004 0.9545  2 Ir 2.87-2.88, 1 Tl 3.11
La2 0.2463 0.7002 0.4926  2 Ir 2.87, 1 Tl 3.11
La3 0.2659 0.2980 0.5318  3 Ir 2.96
La4 0.7081 0.7004 0.9545  2 Ir 2.87-2.88, 1 Tl 3.11
La5 0.2919 0.2996 0.0455  2 Ir 2.87-2.88, 1 Tl 3.11
La6 0.7341 0.7020 0.4682  3 Ir 2.96
La7 0.7537 0.2998 0.5074  2 Ir 2.87, 1 Tl 3.11
La8 0.7536 0.2996 0.0455  2 Ir 2.87-2.88, 1 Tl 3.11
Tl1 0.0000 0.5000 0.0000  6 La 3.11
Ir1 0.5000 0.5000 0.0000  6 La 2.87-2.96
Ir2 0.5000 0.5000 0.5000  6 La 2.87-2.96
Ir3 0.0000 0.5000 0.5000  6 La 2.87-2.96
Br1 0.5000 0.0000 0.0000  6 La 3.29
Br2 0.5000 0.0000 0.5000  6 La 3.42-3.50
Br3 0.0000 0.0000 0.0000  6 La 3.42-3.50
Br4 0.0000 0.0000 0.5000  6 La 3.42-3.50



12.
First-principles (GGA-PBE) data for a relaxed structure of La6TlIr2Br3, as listed in the Alexandria database.

Properties
VASP energy ... -5.6443 eV per atom

a b c (Å): 4.2734 9.3881 10.2753
angles (deg): 107.13 102.00 90.00
Closest atoms and distances in Å follow each position.
Fractional positions:
La1 0.3337 0.8687 0.6674  2 Ir 2.90, 1 Tl 3.20
La2 0.6820 0.5610 0.3640  3 Ir 2.84-2.92
La3 0.6663 0.1313 0.3326  2 Ir 2.90, 1 Tl 3.20
La4 0.0233 0.2628 0.0467  1 Ir 2.82
La5 0.9767 0.7372 0.9533  1 Ir 2.82
La6 0.3180 0.4390 0.6360  3 Ir 2.84-2.92
Tl1 0.5000 0.0000 0.0000  6 La 3.19-3.20
Ir1 0.8300 0.6574 0.6599  6 La 2.82-2.92
Ir2 0.1700 0.3426 0.3401  6 La 2.82-2.92
Br1 0.5000 0.5000 0.0000  6 La 3.22-3.53
Br2 0.8362 0.1584 0.6724  6 La 3.35-3.59
Br3 0.1638 0.8416 0.3276  6 La 3.35-3.59